Record 1
Below is a relaxed Nb3Ir2Ru3 crystal, with properties calculated at the PBE level.

Summary:
The space group is No. 47. The calculation puts the formation energy from the elements at -354 meV/atom.

a = 3.835 Å, b = 3.966 Å, c = 8.218 Å
α = 90.00°, β = 90.00°, γ = 90.00°
Fractional positions:
Nb 0.000 0.000 0.000
Nb 0.000 0.500 0.274
Nb 0.000 0.500 0.726
Ir 0.500 0.000 0.256
Ir 0.500 0.000 0.744
Ru 0.000 0.000 0.500
Ru 0.500 0.500 0.000
Ru 0.500 0.500 0.500


Record 2
Below is a relaxed Nb3IrRu crystal, with properties calculated at the PBE level.

Summary:
The space group is No. 221. The calculation puts the formation energy from the elements at 1148 meV/atom. The energy above the lowest structure with this stoichiometry is 0 meV/atom.

a = 4.711 Å, b = 4.711 Å, c = 4.711 Å
α = 90.00°, β = 90.00°, γ = 90.00°
Fractional positions:
Nb 0.000 0.000 0.500
Nb 0.000 0.500 0.000
Nb 0.500 0.000 0.000
Ir 0.500 0.500 0.500
Ru 0.000 0.000 0.000


Record 3
Below is a relaxed Nb2Ir3Ru crystal, with properties calculated at the PBE level.

Summary:
The space group is No. 65. The calculation puts the formation energy from the elements at -521 meV/atom.

a = 6.346 Å, b = 6.346 Å, c = 3.916 Å
α = 90.00°, β = 90.00°, γ = 143.95°
Fractional positions:
Nb 0.156 0.844 0.000
Nb 0.844 0.156 0.000
Ir 0.000 0.000 0.500
Ir 0.335 0.665 0.500
Ir 0.665 0.335 0.500
Ru 0.500 0.500 0.000


Record 4
Below is a relaxed Nb6IrRu2 crystal, with properties calculated at the PBE level.

Summary:
The space group is No. 12. The calculation puts the formation energy from the elements at 171 meV/atom.

a = 7.301 Å, b = 7.301 Å, c = 4.563 Å
α = 108.09°, β = 108.09°, γ = 50.58°
Fractional positions:
Nb 0.095 0.567 0.331
Nb 0.241 0.759 0.000
Nb 0.433 0.905 0.669
Nb 0.567 0.095 0.331
Nb 0.759 0.241 0.000
Nb 0.905 0.433 0.669
Ir 0.000 0.000 0.500
Ru 0.334 0.334 0.834
Ru 0.666 0.666 0.166


Record 5
Below is a relaxed Ta2NbIr5Ru crystal, with properties calculated at the PBE level.

Summary:
The space group is No. 140. The calculation puts the formation energy from the elements at 245 meV/atom.

a = 7.591 Å, b = 7.591 Å, c = 7.591 Å
α = 120.60°, β = 120.60°, γ = 88.96°
Fractional positions:
Ta 0.117 0.617 0.735
Ta 0.383 0.117 0.500
Ta 0.617 0.883 0.500
Ta 0.883 0.383 0.265
Nb 0.250 0.250 0.000
Nb 0.750 0.750 0.000
Ir 0.000 0.000 0.000
Ir 0.065 0.174 0.500
Ir 0.174 0.674 0.109
Ir 0.326 0.435 0.500
Ir 0.435 0.935 0.109
Ir 0.500 0.500 0.000
Ir 0.565 0.065 0.891
Ir 0.674 0.565 0.500
Ir 0.826 0.326 0.891
Ir 0.935 0.826 0.500
Ru 0.250 0.750 0.500
Ru 0.750 0.250 0.500


Record 6
Below is a relaxed TaNbIrRu crystal, with properties calculated at the PBE level.

Summary:
The space group is No. 119. The calculation puts the formation energy from the elements at -377 meV/atom.

a = 4.743 Å, b = 4.743 Å, c = 4.743 Å
α = 127.87°, β = 127.87°, γ = 76.83°
Fractional positions:
Ta 0.000 0.000 0.000
Nb 0.500 0.500 0.000
Ir 0.250 0.750 0.500
Ru 0.750 0.250 0.500


Record 7
Below is a relaxed TaNb2IrRu crystal, with properties calculated at the PBE level.

Summary:
The space group is No. 123. The calculation puts the formation energy from the elements at 1296 meV/atom.

a = 4.798 Å, b = 4.798 Å, c = 4.637 Å
α = 90.00°, β = 90.00°, γ = 90.00°
Fractional positions:
Ta 0.000 0.000 0.000
Nb 0.000 0.500 0.500
Nb 0.500 0.000 0.500
Ir 0.500 0.500 0.500
Ru 0.500 0.500 0.000


Record 8
Below is a relaxed Nb2TcIr5Ru crystal, with properties calculated at the PBE level.

Summary:
The space group is No. 140. The calculation puts the formation energy from the elements at 488 meV/atom.

a = 7.689 Å, b = 7.689 Å, c = 7.689 Å
α = 124.45°, β = 124.45°, γ = 82.46°
Fractional positions:
Nb 0.121 0.621 0.742
Nb 0.379 0.121 0.500
Nb 0.621 0.879 0.500
Nb 0.879 0.379 0.258
Tc 0.250 0.250 0.000
Tc 0.750 0.750 0.000
Ir 0.000 0.000 0.000
Ir 0.065 0.147 0.500
Ir 0.147 0.647 0.083
Ir 0.353 0.435 0.500
Ir 0.435 0.935 0.083
Ir 0.500 0.500 0.000
Ir 0.565 0.065 0.917
Ir 0.647 0.565 0.500
Ir 0.853 0.353 0.917
Ir 0.935 0.853 0.500
Ru 0.250 0.750 0.500
Ru 0.750 0.250 0.500


Record 9
Below is a relaxed NbTcIrRu crystal, with properties calculated at the PBE level.

Summary:
The space group is No. 47. The calculation puts the formation energy from the elements at -267 meV/atom.

a = 3.886 Å, b = 3.946 Å, c = 3.955 Å
α = 90.00°, β = 90.00°, γ = 90.00°
Fractional positions:
Nb 0.000 0.000 0.000
Tc 0.000 0.500 0.500
Ir 0.500 0.500 0.000
Ru 0.500 0.000 0.500


Record 10
Below is a relaxed TmNbIrRu crystal, with properties calculated at the PBE level.

Summary:
The space group is No. 216. The calculation puts the formation energy from the elements at -439 meV/atom.

a = 4.629 Å, b = 4.629 Å, c = 4.629 Å
α = 60.00°, β = 60.00°, γ = 60.00°
Fractional positions:
Tm 0.000 0.000 0.000
Nb 0.500 0.500 0.500
Ir 0.750 0.750 0.750
Ru 0.250 0.250 0.250


Record 11
Below is a relaxed Nb2VIr5Ru crystal, with properties calculated at the PBE level.

Summary:
The space group is No. 140. The calculation puts the formation energy from the elements at 389 meV/atom.

a = 7.540 Å, b = 7.540 Å, c = 7.540 Å
α = 120.14°, β = 120.14°, γ = 89.76°
Fractional positions:
Nb 0.115 0.615 0.731
Nb 0.385 0.115 0.500
Nb 0.615 0.885 0.500
Nb 0.885 0.385 0.269
V 0.250 0.250 0.000
V 0.750 0.750 0.000
Ir 0.000 0.000 0.000
Ir 0.064 0.171 0.500
Ir 0.171 0.671 0.107
Ir 0.329 0.436 0.500
Ir 0.436 0.936 0.107
Ir 0.500 0.500 0.000
Ir 0.564 0.064 0.893
Ir 0.671 0.564 0.500
Ir 0.829 0.329 0.893
Ir 0.936 0.829 0.500
Ru 0.250 0.750 0.500
Ru 0.750 0.250 0.500


Record 12
Below is a relaxed YNbIrRu crystal, with properties calculated at the PBE level.

Summary:
The space group is No. 216. The calculation puts the formation energy from the elements at -328 meV/atom.

a = 4.665 Å, b = 4.665 Å, c = 4.665 Å
α = 60.00°, β = 60.00°, γ = 60.00°
Fractional positions:
Y 0.000 0.000 0.000
Nb 0.500 0.500 0.500
Ir 0.750 0.750 0.750
Ru 0.250 0.250 0.250


Record 13
Below is a relaxed Nb15IrS32 crystal, with properties calculated at the PBE level.

Summary:
The space group is No. 1. For the energy relative to the elements, uncorrected, the calculation gives -0.95 eV per atom.

a = 8.985 Å, b = 8.989 Å, c = 14.343 Å
α = 104.97°, β = 105.53°, γ = 98.73°
Fractional positions:
Nb 0.000 0.000 0.000
Nb 0.002 0.530 0.498
Nb 0.124 0.380 0.000
Nb 0.170 0.898 0.498
Nb 0.281 0.249 0.498
Nb 0.295 0.764 0.996
Nb 0.385 0.609 0.498
Nb 0.420 0.144 0.996
Nb 0.527 0.506 0.998
Nb 0.632 0.361 0.498
Nb 0.650 0.870 0.999
Nb 0.769 0.273 0.997
Nb 0.777 0.756 0.499
Nb 0.894 0.637 0.998
Nb 0.922 0.147 0.498
Ir 0.502 0.029 0.498
S 0.002 0.983 0.611
S 0.045 0.031 0.376
S 0.051 0.538 0.884
S 0.122 0.368 0.614
S 0.124 0.858 0.112
S 0.162 0.410 0.382
S 0.177 0.916 0.889
S 0.243 0.228 0.106
S 0.246 0.734 0.614
S 0.295 0.286 0.884
S 0.309 0.788 0.385
S 0.368 0.605 0.111
S 0.379 0.120 0.625
S 0.409 0.153 0.371
S 0.423 0.653 0.875
S 0.501 0.484 0.621
S 0.504 0.988 0.116
S 0.547 0.531 0.386
S 0.552 0.032 0.880
S 0.605 0.865 0.598
S 0.628 0.367 0.122
S 0.664 0.927 0.399
S 0.670 0.409 0.876
S 0.744 0.220 0.611
S 0.750 0.734 0.120
S 0.792 0.776 0.874
S 0.796 0.287 0.382
S 0.860 0.608 0.618
S 0.868 0.111 0.116
S 0.915 0.156 0.879
S 0.921 0.673 0.378
S 0.996 0.490 0.121


Record 14
Below is a relaxed NbIr2S crystal, with properties calculated at the PBE level.

Summary:
The space group is No. 122. For the energy relative to the elements, uncorrected, the calculation gives 0.15 eV per atom.

a = 6.807 Å, b = 6.807 Å, c = 6.807 Å
α = 132.82°, β = 132.82°, γ = 68.94°
Fractional positions:
Nb 0.000 0.000 0.000
Nb 0.750 0.250 0.500
Ir 0.170 0.625 0.045
Ir 0.375 0.420 0.545
Ir 0.580 0.125 0.955
Ir 0.875 0.830 0.455
S 0.250 0.750 0.500
S 0.500 0.500 0.000


Record 15
Below is a relaxed Nb9IrS20 crystal, with properties calculated at the PBE level.

Summary:
The space group is No. 2. For the energy relative to the elements, uncorrected, the calculation gives -0.92 eV per atom.

a = 6.801 Å, b = 9.496 Å, c = 11.049 Å
α = 82.09°, β = 81.51°, γ = 69.11°
Fractional positions:
Nb 0.000 0.000 0.000
Nb 0.067 0.211 0.222
Nb 0.211 0.397 0.392
Nb 0.305 0.590 0.585
Nb 0.401 0.821 0.821
Nb 0.599 0.179 0.179
Nb 0.695 0.410 0.415
Nb 0.789 0.603 0.608
Nb 0.933 0.789 0.778
Ir 0.500 0.000 0.000
S 0.051 0.672 0.437
S 0.055 0.520 0.759
S 0.151 0.727 0.957
S 0.173 0.872 0.637
S 0.246 0.939 0.158
S 0.256 0.087 0.843
S 0.340 0.263 0.039
S 0.345 0.125 0.361
S 0.448 0.319 0.563
S 0.461 0.460 0.240
S 0.539 0.540 0.760
S 0.552 0.681 0.437
S 0.655 0.875 0.639
S 0.660 0.737 0.961
S 0.744 0.913 0.157
S 0.754 0.061 0.842
S 0.827 0.128 0.363
S 0.849 0.273 0.043
S 0.945 0.480 0.241
S 0.949 0.328 0.563


Record 16
Below is a relaxed NbIrS4 crystal, with properties calculated at the PBE level.

Summary:
The space group is No. 12. For the energy relative to the elements, uncorrected, the calculation gives -0.61 eV per atom.

a = 7.195 Å, b = 7.195 Å, c = 5.575 Å
α = 109.96°, β = 109.96°, γ = 28.11°
Fractional positions:
Nb 0.000 0.000 0.000
Ir 0.500 0.500 0.500
S 0.112 0.112 0.456
S 0.383 0.383 0.061
S 0.617 0.617 0.939
S 0.888 0.888 0.544


Record 17
Below is a relaxed NbIrS3 crystal, with properties calculated at the PBE level.

Summary:
The space group is No. 221. For the energy relative to the elements, uncorrected, the calculation gives 0.73 eV per atom. The energy above the lowest structure with this stoichiometry is 54 meV/atom.

a = 4.746 Å, b = 4.746 Å, c = 4.746 Å
α = 90.00°, β = 90.00°, γ = 90.00°
Fractional positions:
Nb 0.000 0.000 0.000
Ir 0.500 0.500 0.500
S 0.000 0.000 0.500
S 0.000 0.500 0.000
S 0.500 0.000 0.000


Record 18
Below is a relaxed NbIrS2 crystal, with properties calculated at the PBE level.

Summary:
The space group is No. 166. For the energy relative to the elements, uncorrected, the calculation gives -0.46 eV per atom. The energy above the lowest structure with this stoichiometry is 0 meV/atom.

a = 8.096 Å, b = 8.096 Å, c = 8.096 Å
α = 22.29°, β = 22.29°, γ = 22.29°
Fractional positions:
Nb 0.000 0.000 0.000
Ir 0.500 0.500 0.500
S 0.405 0.405 0.405
S 0.595 0.595 0.595


Record 19
Below is a relaxed NbIrS2 crystal, with properties calculated at the PBE level.

Summary:
The space group is No. 122. For the energy relative to the elements, uncorrected, the calculation gives -0.21 eV per atom. The energy above the lowest structure with this stoichiometry is 246 meV/atom.

a = 6.514 Å, b = 6.514 Å, c = 6.514 Å
α = 130.35°, β = 130.35°, γ = 72.85°
Fractional positions:
Nb 0.000 0.000 0.000
Nb 0.750 0.250 0.500
Ir 0.250 0.750 0.500
Ir 0.500 0.500 0.000
S 0.139 0.625 0.014
S 0.375 0.389 0.514
S 0.611 0.125 0.986
S 0.875 0.861 0.486


Record 20
Below is a relaxed NbIrS2 crystal, with properties calculated at the PBE level.

Summary:
The space group is No. 166. For the energy relative to the elements, uncorrected, the calculation gives 0.06 eV per atom. The energy above the lowest structure with this stoichiometry is 519 meV/atom.

a = 7.921 Å, b = 7.921 Å, c = 7.921 Å
α = 24.35°, β = 24.35°, γ = 24.35°
Fractional positions:
Nb 0.000 0.000 0.000
Ir 0.500 0.500 0.500
S 0.108 0.108 0.108
S 0.892 0.892 0.892


Record 21
Below is a relaxed NbIrS crystal, with properties calculated at the PBE level.

Summary:
The space group is No. 139. For the energy relative to the elements, uncorrected, the calculation gives -0.38 eV per atom.

a = 11.795 Å, b = 11.795 Å, c = 11.795 Å
α = 165.06°, β = 165.06°, γ = 21.19°
Fractional positions:
Nb 0.126 0.126 0.000
Nb 0.874 0.874 0.000
Ir 0.446 0.446 0.000
Ir 0.554 0.554 0.000
S 0.316 0.316 0.000
S 0.684 0.684 0.000


Record 22
Below is a relaxed NbIrS2 crystal, with properties calculated at the PBE level.

Summary:
The space group is No. 225. For the energy relative to the elements, uncorrected, the calculation gives -0.11 eV per atom. The energy above the lowest structure with this stoichiometry is 350 meV/atom.

a = 4.347 Å, b = 4.347 Å, c = 4.347 Å
α = 60.00°, β = 60.00°, γ = 60.00°
Fractional positions:
Nb 0.000 0.000 0.000
Ir 0.500 0.500 0.500
S 0.250 0.250 0.250
S 0.750 0.750 0.750


no.,VASP energy (eV per atom)
1,-9.8242
2,-8.5216
3,-9.8537
4,-9.5880
5,-9.4608
6,-10.3922
7,-8.7295
8,-8.8549
9,-9.9105
10,-8.6086
11,-8.8158
12,-8.9955
13,-7.0377
14,-7.8253
15,-6.9912
16,-6.5146
17,-5.5286
18,-7.2520
19,-7.0055
20,-6.7332
21,-8.0620
22,-6.9019